Density functional theory data (PBE) for a geometry-optimized Tl12Sb2Pb5 structure.

Summary:
density = 10.19 Mg/m³
energy relative to the elements, uncorrected = 13 meV/atom
electronic total energy = -109.87 eV/cell

CIF file:
```
data_Tl12Sb2Pb5
_space_group_name_H-M_alt 'C 1 2/m 1'
_space_group_IT_number 12
_cell_length_a 25.0386
_cell_length_b 10.3660
_cell_length_c 4.7639
_cell_angle_alpha 90.00
_cell_angle_beta 100.47
_cell_angle_gamma 90.00
loop_
_space_group_symop_operation_xyz
'x,y,z'
'-x,-y,-z'
'-x,y,-z'
'x,-y,z'
'x+1/2,y+1/2,z'
'-x+1/2,-y+1/2,-z'
'-x+1/2,y+1/2,-z'
'x+1/2,-y+1/2,z'
loop_
_atom_site_label
_atom_site_type_symbol
_atom_site_fract_x
_atom_site_fract_y
_atom_site_fract_z
_atom_site_occupancy
Tl1 Tl 0.0809 0.0000 0.0821 1
Tl2 Tl 0.0948 0.2416 0.5934 1
Tl3 Tl 0.1017 0.5000 0.1015 1
Tl4 Tl 0.1998 0.2479 0.2008 1
Sb1 Sb 0.0000 0.2628 0.0000 1
Pb1 Pb 0.0000 0.5000 0.5000 1
Pb2 Pb 0.2002 0.0000 0.7047 1
Pb3 Pb 0.2041 0.5000 0.7031 1
```

Density functional theory data (PBE) for a geometry-optimized Ho3ErPd3 structure.

Summary:
density = 9.72 Mg/m³
offset from the most stable computed form = 7 meV per atom
energy of formation from the pure elements = -0.714 eV/atom
electronic total energy = -155.48 eV/cell

CIF file:
```
data_Ho3ErPd3
_space_group_name_H-M_alt 'C 1 2/m 1'
_space_group_IT_number 12
_cell_length_a 9.1473
_cell_length_b 10.3857
_cell_length_c 7.0648
_cell_angle_alpha 90.00
_cell_angle_beta 92.18
_cell_angle_gamma 90.00
loop_
_space_group_symop_operation_xyz
'x,y,z'
'-x,-y,-z'
'-x,y,-z'
'x,-y,z'
'x+1/2,y+1/2,z'
'-x+1/2,-y+1/2,-z'
'-x+1/2,y+1/2,-z'
'x+1/2,-y+1/2,z'
loop_
_atom_site_label
_atom_site_type_symbol
_atom_site_fract_x
_atom_site_fract_y
_atom_site_fract_z
_atom_site_occupancy
Ho1 Ho 0.0000 0.1763 0.0000 1
Ho2 Ho 0.0000 0.2514 0.5000 1
Ho3 Ho 0.1520 0.5000 0.8654 1
Er1 Er 0.2386 0.5000 0.3767 1
Pd1 Pd 0.0620 0.0000 0.3080 1
Pd2 Pd 0.2416 0.2565 0.2207 1
```

Density functional theory data (PBE) for a geometry-optimized CdSiB2Cl structure.

Summary:
density = 3.83 Mg/m³
energy relative to the elements, uncorrected = 1012 meV/atom
electronic total energy = -16.48 eV/cell

CIF file:
```
data_CdSiB2Cl
_space_group_name_H-M_alt 'P 4/m m m'
_space_group_IT_number 123
_space_group_name_Hall '-P 4 2'
_cell_length_a 4.0219
_cell_length_b 4.0219
_cell_length_c 5.2982
_cell_angle_alpha 90.00
_cell_angle_beta 90.00
_cell_angle_gamma 90.00
loop_
_atom_site_label
_atom_site_type_symbol
_atom_site_fract_x
_atom_site_fract_y
_atom_site_fract_z
_atom_site_occupancy
Cd1 Cd 0.0000 0.0000 0.0000 1
Si1 Si 0.5000 0.5000 0.5000 1
B1 B 0.0000 0.5000 0.5000 1
Cl1 Cl 0.5000 0.5000 0.0000 1
```

Density functional theory data (PBE) for a geometry-optimized La4Hg2O structure.

Summary:
density = 7.21 Mg/m³
energy relative to the elements, uncorrected = -812 meV/atom
offset from the most stable computed form = 252 meV per atom
electronic total energy = -61.91 eV/cell

CIF file:
```
data_La4Hg2O
_space_group_name_H-M_alt 'C m m m'
_space_group_IT_number 65
_space_group_name_Hall '-C 2 2'
_cell_length_a 4.9135
_cell_length_b 24.8099
_cell_length_c 3.6743
_cell_angle_alpha 90.00
_cell_angle_beta 90.00
_cell_angle_gamma 90.00
loop_
_atom_site_label
_atom_site_type_symbol
_atom_site_fract_x
_atom_site_fract_y
_atom_site_fract_z
_atom_site_occupancy
La1 La 0.0000 0.0657 0.0000 1
La2 La 0.0000 0.1984 0.5000 1
Hg1 Hg 0.0000 0.3434 0.0000 1
O1 O 0.0000 0.0000 0.5000 1
```

Density functional theory data (PBE) for a geometry-optimized DyMgS2 structure.

Summary:
density = 5.33 Mg/m³
energy relative to the elements, uncorrected = -1616 meV/atom
electronic total energy = -62.75 eV/cell

CIF file:
```
data_DyMgS2
_space_group_name_H-M_alt 'R -3 m'
_space_group_IT_number 166
_space_group_name_Hall '-R 3 2"'
_cell_length_a 3.7415
_cell_length_b 3.7415
_cell_length_c 19.3520
_cell_angle_alpha 90.00
_cell_angle_beta 90.00
_cell_angle_gamma 120.00
loop_
_atom_site_label
_atom_site_type_symbol
_atom_site_fract_x
_atom_site_fract_y
_atom_site_fract_z
_atom_site_occupancy
Dy1 Dy 0.0000 0.0000 0.0000 1
Mg1 Mg 0.0000 0.0000 0.5000 1
S1 S 0.0000 0.0000 0.2429 1
```

Density functional theory data (PBE) for a geometry-optimized MnSb2HOs structure.

Summary:
density = 11.42 Mg/m³
electronic total energy = -29.21 eV/cell

CIF file:
```
data_MnSb2HOs
_space_group_name_H-M_alt 'P 4/m m m'
_space_group_IT_number 123
_space_group_name_Hall '-P 4 2'
_cell_length_a 4.6254
_cell_length_b 4.6254
_cell_length_c 3.3296
_cell_angle_alpha 90.00
_cell_angle_beta 90.00
_cell_angle_gamma 90.00
loop_
_atom_site_label
_atom_site_type_symbol
_atom_site_fract_x
_atom_site_fract_y
_atom_site_fract_z
_atom_site_occupancy
Mn1 Mn 0.0000 0.0000 0.0000 1
Sb1 Sb 0.0000 0.5000 0.5000 1
H1 H 0.0000 0.0000 0.5000 1
Os1 Os 0.5000 0.5000 0.0000 1
```

Density functional theory data (PBE) for a geometry-optimized TaNbZn structure.

Summary:
density = 10.88 Mg/m³
offset from the most stable computed form = 0 meV per atom
energy of formation from the pure elements = -0.017 eV/atom
electronic total energy = -92.99 eV/cell

CIF file:
```
data_TaNbZn
_space_group_name_H-M_alt 'C 1 2/m 1'
_space_group_IT_number 12
_cell_length_a 4.4545
_cell_length_b 3.4049
_cell_length_c 13.6655
_cell_angle_alpha 90.00
_cell_angle_beta 91.48
_cell_angle_gamma 90.00
loop_
_space_group_symop_operation_xyz
'x,y,z'
'-x,-y,-z'
'-x,y,-z'
'x,-y,z'
'x+1/2,y+1/2,z'
'-x+1/2,-y+1/2,-z'
'-x+1/2,y+1/2,-z'
'x+1/2,-y+1/2,z'
loop_
_atom_site_label
_atom_site_type_symbol
_atom_site_fract_x
_atom_site_fract_y
_atom_site_fract_z
_atom_site_occupancy
Ta1 Ta 0.2436 0.0000 0.4139 1
Nb1 Nb 0.2322 0.5000 0.2391 1
Zn1 Zn 0.2113 0.0000 0.0755 1
```

Density functional theory data (PBE) for a geometry-optimized ScTiIn3 structure.

Summary:
density = 5.19 Mg/m³
energy of formation from the pure elements = 0.400 eV/atom
electronic total energy = -20.44 eV/cell

CIF file:
```
data_ScTiIn3
_space_group_name_H-M_alt 'P m -3 m'
_space_group_IT_number 221
_space_group_name_Hall '-P 4 2 3'
_cell_length_a 5.1926
_cell_length_b 5.1926
_cell_length_c 5.1926
_cell_angle_alpha 90.00
_cell_angle_beta 90.00
_cell_angle_gamma 90.00
loop_
_atom_site_label
_atom_site_type_symbol
_atom_site_fract_x
_atom_site_fract_y
_atom_site_fract_z
_atom_site_occupancy
Sc1 Sc 0.0000 0.0000 0.0000 1
Ti1 Ti 0.5000 0.5000 0.5000 1
In1 In 0.0000 0.5000 0.5000 1
```

Density functional theory data (PBE) for a geometry-optimized HfPd3C structure.

Summary:
density = 7.31 Mg/m³
offset from the most stable computed form = 1868 meV per atom
energy of formation from the pure elements = 1.921 eV/atom
electronic total energy = -25.15 eV/cell

CIF file:
```
data_HfPd3C
_space_group_name_H-M_alt 'P m -3 m'
_space_group_IT_number 221
_space_group_name_Hall '-P 4 2 3'
_cell_length_a 4.8748
_cell_length_b 4.8748
_cell_length_c 4.8748
_cell_angle_alpha 90.00
_cell_angle_beta 90.00
_cell_angle_gamma 90.00
loop_
_atom_site_label
_atom_site_type_symbol
_atom_site_fract_x
_atom_site_fract_y
_atom_site_fract_z
_atom_site_occupancy
Hf1 Hf 0.0000 0.0000 0.0000 1
Pd1 Pd 0.0000 0.0000 0.5000 1
C1 C 0.5000 0.5000 0.5000 1
```

Density functional theory data (PBE) for a geometry-optimized ErMnS2 structure.

Summary:
density = 5.21 Mg/m³
energy relative to the elements, uncorrected = -654 meV/atom
electronic total energy = -73.81 eV/cell

CIF file:
```
data_ErMnS2
_space_group_name_H-M_alt 'R -3 m'
_space_group_IT_number 166
_space_group_name_Hall '-R 3 2"'
_cell_length_a 3.6615
_cell_length_b 3.6615
_cell_length_c 23.5948
_cell_angle_alpha 90.00
_cell_angle_beta 90.00
_cell_angle_gamma 120.00
loop_
_atom_site_label
_atom_site_type_symbol
_atom_site_fract_x
_atom_site_fract_y
_atom_site_fract_z
_atom_site_occupancy
Er1 Er 0.0000 0.0000 0.0000 1
Mn1 Mn 0.0000 0.0000 0.5000 1
S1 S 0.0000 0.0000 0.1109 1
```

Density functional theory data (PBE) for a geometry-optimized LiDy5Bi2 structure.

Summary:
density = 9.02 Mg/m³
energy of formation from the pure elements = -0.325 eV/atom
electronic total energy = -141.13 eV/cell

CIF file:
```
data_LiDy5Bi2
_space_group_name_H-M_alt 'C m c m'
_space_group_IT_number 63
_space_group_name_Hall '-C 2c 2'
_cell_length_a 4.1564
_cell_length_b 11.7359
_cell_length_c 18.6798
_cell_angle_alpha 90.00
_cell_angle_beta 90.00
_cell_angle_gamma 90.00
loop_
_atom_site_label
_atom_site_type_symbol
_atom_site_fract_x
_atom_site_fract_y
_atom_site_fract_z
_atom_site_occupancy
Li1 Li 0.0000 0.1724 0.2500 1
Dy1 Dy 0.0000 0.0513 0.1084 1
Dy2 Dy 0.0000 0.3547 0.0299 1
Dy3 Dy 0.0000 0.4360 0.2500 1
Bi1 Bi 0.0000 0.2392 0.6496 1
```